The following is a DFT calculation (PBE) of a relaxed Pm2Pr5Tl crystal.

Cell and atoms, written as POSCAR:
```
Pm2Pr5Tl
1.0
7.299 0.000 0.000
0.000 14.684 0.000
0.000 0.000 5.048
Pm Pr Tl
4 10 2
Direct
0.250 0.122 0.000
0.250 0.622 0.000
0.750 0.378 0.000
0.750 0.878 0.000
0.000 0.000 0.500
0.002 0.741 0.500
0.248 0.377 0.000
0.252 0.877 0.000
0.498 0.241 0.500
0.500 0.500 0.500
0.502 0.759 0.500
0.748 0.123 0.000
0.752 0.623 0.000
0.998 0.259 0.500
0.000 0.500 0.500
0.500 0.000 0.500
```

Total magnetic moment, μB/cell: 0.0
Formation enthalpy at 0 K, eV/atom: -0.056
Volume, Å³/atom: 33.813
Energy above the most stable polymorph in this dataset, meV per atom: 0.0